First-principles (PBE with a Hubbard U) data for an optimized crystal structure of NdAg2MoO6, as listed in Alexandria.

Output
- ρ (g/cm³) = 6.415
- raw total energy (eV/atom) = -6.162

Cell lengths 5.7787, 5.7107, 5.8990 Å; angles 61.23, 63.07, 60.88 degrees
Last column: nearest neighbours and their distance in Å.
Fractional positions:
Nd (0.8084, 0.8151, 0.5604)  6 O 2.32-2.55
Ag (0.5183, 0.5199, 0.4257)  4 O 2.28-2.30
Ag (0.0553, 0.0522, 0.8114)  3 O 2.25-2.30
Mo (0.3010, 0.3121, 0.0678)  4 O 1.84-1.94
O (0.5657, 0.2234, 0.2380)  1 Mo 1.94
O (0.2293, 0.9711, 0.2701)  1 Mo 1.87
O (0.0174, 0.5443, 0.2613)  1 Mo 1.84
O (0.4317, 0.6643, 0.7681)  1 Mo 2.14, 2 Ag 2.25-2.30, 1 Nd 2.32
O (0.6440, 0.1330, 0.7827)  1 Mo 2.11, 2 Ag 2.26-2.28, 1 Nd 2.32
O (0.0904, 0.4261, 0.8297)  1 Mo 1.94